TbPr6Dy: optimized geometry, PBE.

```
data_TbPr6Dy
_cell_length_a 5.193
_cell_length_b 5.193
_cell_length_c 10.385
_cell_angle_alpha 90.00
_cell_angle_beta 90.00
_cell_angle_gamma 90.00
_symmetry_space_group_name_H-M 'P 4/m m m'
_symmetry_Int_Tables_number 123
_symmetry_space_group_name_Hall '-P 4 2'
loop_
_atom_site_label
_atom_site_type_symbol
_atom_site_fract_x
_atom_site_fract_y
_atom_site_fract_z
Tb1 Tb 0.000 0.000 0.000
Pr1 Pr 0.000 0.500 0.250
Pr2 Pr 0.500 0.500 0.000
Pr3 Pr 0.500 0.500 0.500
Dy1 Dy 0.000 0.000 0.500
```

Calculated values
VASP energy   -4.72 eV/atom
DOS(E_F)   1.710 states/eV/atom
Theoretical density   6.92 g/cm3
Energy of formation   0.0145 eV per atom
Size of the total moment   0.0 μB per cell

Tb2Pr6Dy: optimized geometry, PBE.

```
data_Tb2Pr6Dy
_cell_length_a 9.516
_cell_length_b 17.920
_cell_length_c 3.688
_cell_angle_alpha 90.00
_cell_angle_beta 90.00
_cell_angle_gamma 90.00
_symmetry_space_group_name_H-M 'C m m m'
_symmetry_Int_Tables_number 65
_symmetry_space_group_name_Hall '-C 2 2'
loop_
_atom_site_label
_atom_site_type_symbol
_atom_site_fract_x
_atom_site_fract_y
_atom_site_fract_z
Tb1 Tb 0.000 0.176 0.000
Pr1 Pr 0.175 0.335 0.500
Pr2 Pr 0.184 0.500 0.000
Dy1 Dy 0.000 0.000 0.500
```

Calculated values
VASP energy   -4.60 eV/atom
DOS(E_F)   1.375 states/eV/atom
Distance to the lowest polymorph of the same formula   0.0000 eV per atom
Theoretical density   7.00 g/cm3
Energy of formation   0.1273 eV per atom
Size of the total moment   0.0 μB per cell

Tb10PrDy4: optimized geometry, PBE.

```
data_Tb10PrDy4
_cell_length_a 12.189
_cell_length_b 12.189
_cell_length_c 7.704
_cell_angle_alpha 90.00
_cell_angle_beta 90.00
_cell_angle_gamma 90.00
_symmetry_space_group_name_H-M 'I 4/m'
_symmetry_Int_Tables_number 87
_symmetry_space_group_name_Hall '-I 4'
loop_
_atom_site_label
_atom_site_type_symbol
_atom_site_fract_x
_atom_site_fract_y
_atom_site_fract_z
Tb1 Tb 0.000 0.500 0.250
Tb2 Tb 0.101 0.202 0.248
Pr1 Pr 0.000 0.000 0.500
Dy1 Dy 0.100 0.700 0.000
```

Calculated values
VASP energy   -3.90 eV/atom
DOS(E_F)   1.307 states/eV/atom
Theoretical density   6.91 g/cm3
Energy of formation   0.7346 eV per atom
Size of the total moment   0.0 μB per cell

Tb8PrDy6: optimized geometry, PBE.

```
data_Tb8PrDy6
_cell_length_a 9.0477
_cell_length_b 9.0477
_cell_length_c 20.6346
_cell_angle_alpha 90.00
_cell_angle_beta 90.00
_cell_angle_gamma 120.00
_symmetry_space_group_name_H-M 'R -3'
_symmetry_Int_Tables_number 148
_symmetry_space_group_name_Hall '-R 3'
loop_
_atom_site_label
_atom_site_type_symbol
_atom_site_fract_x
_atom_site_fract_y
_atom_site_fract_z
Tb1 Tb 0.0000 0.0000 0.0767
Tb2 Tb 0.0808 0.5280 0.3081
Pr1 Pr 0.0000 0.0000 0.5000
Dy1 Dy 0.0563 0.8121 0.2072
```

Calculated values
VASP energy   -4.50 eV/atom
DOS(E_F)   1.486 states/eV/atom
Theoretical density   8.13 g/cm3
Energy of formation   0.1321 eV per atom
Size of the total moment   0.0 μB per cell

Tb5Pr2Dy4: optimized geometry, PBE.

```
data_Tb5Pr2Dy4
_cell_length_a 16.585
_cell_length_b 6.687
_cell_length_c 6.714
_cell_angle_alpha 90.00
_cell_angle_beta 100.47
_cell_angle_gamma 90.00
_symmetry_space_group_name_H-M 'C 1 2/m 1'
_symmetry_Int_Tables_number 12
loop_
_symmetry_equiv_pos_as_xyz
'x,y,z'
'-x,-y,-z'
'-x,y,-z'
'x,-y,z'
'x+1/2,y+1/2,z'
'-x+1/2,-y+1/2,-z'
'-x+1/2,y+1/2,-z'
'x+1/2,-y+1/2,z'
loop_
_atom_site_label
_atom_site_type_symbol
_atom_site_fract_x
_atom_site_fract_y
_atom_site_fract_z
Tb1 Tb 0.000 0.000 0.000
Tb2 Tb 0.088 0.263 0.406
Pr1 Pr 0.200 0.000 0.798
Dy1 Dy 0.088 0.500 0.907
Dy2 Dy 0.244 0.000 0.306
```

Calculated values
VASP energy   -4.49 eV/atom
DOS(E_F)   1.494 states/eV/atom
Distance to the lowest polymorph of the same formula   0.0077 eV per atom
Theoretical density   7.83 g/cm3
Energy of formation   0.1562 eV per atom
Size of the total moment   0.0 μB per cell

TbPrDy4: optimized geometry, PBE.

```
data_TbPrDy4
_cell_length_a 11.315
_cell_length_b 5.043
_cell_length_c 7.149
_cell_angle_alpha 90.00
_cell_angle_beta 108.45
_cell_angle_gamma 90.00
_symmetry_space_group_name_H-M 'C 1 2/m 1'
_symmetry_Int_Tables_number 12
loop_
_symmetry_equiv_pos_as_xyz
'x,y,z'
'-x,-y,-z'
'-x,y,-z'
'x,-y,z'
'x+1/2,y+1/2,z'
'-x+1/2,-y+1/2,-z'
'-x+1/2,y+1/2,-z'
'x+1/2,-y+1/2,z'
loop_
_atom_site_label
_atom_site_type_symbol
_atom_site_fract_x
_atom_site_fract_y
_atom_site_fract_z
Tb1 Tb 0.000 0.000 0.000
Pr1 Pr 0.000 0.000 0.500
Dy1 Dy 0.166 0.500 0.332
Dy2 Dy 0.168 0.500 0.835
```

Calculated values
VASP energy   -4.62 eV/atom
DOS(E_F)   1.354 states/eV/atom
Distance to the lowest polymorph of the same formula   0.0000 eV per atom
Theoretical density   8.15 g/cm3
Energy of formation   0.0195 eV per atom
Size of the total moment   0.0 μB per cell

Tb2Pr5Dy3: optimized geometry, PBE.

```
data_Tb2Pr5Dy3
_cell_length_a 9.492
_cell_length_b 13.779
_cell_length_c 11.054
_cell_angle_alpha 90.00
_cell_angle_beta 90.00
_cell_angle_gamma 90.00
_symmetry_space_group_name_H-M 'I b a m'
_symmetry_Int_Tables_number 72
_symmetry_space_group_name_Hall '-I 2 2c'
loop_
_atom_site_label
_atom_site_type_symbol
_atom_site_fract_x
_atom_site_fract_y
_atom_site_fract_z
Tb1 Tb 0.088 0.119 0.000
Pr1 Pr 0.000 0.246 0.250
Pr2 Pr 0.000 0.500 0.250
Pr3 Pr 0.104 0.370 0.500
Dy1 Dy 0.000 0.000 0.250
Dy2 Dy 0.249 0.377 0.000
```

Calculated values
VASP energy   -4.33 eV/atom
DOS(E_F)   1.436 states/eV/atom
Distance to the lowest polymorph of the same formula   0.1872 eV per atom
Theoretical density   6.94 g/cm3
Energy of formation   0.3619 eV per atom
Size of the total moment   0.0 μB per cell

Tb7Pr12Dy: optimized geometry, PBE.

```
data_Tb7Pr12Dy
_cell_length_a 19.7347
_cell_length_b 19.7347
_cell_length_c 6.3043
_cell_angle_alpha 90.00
_cell_angle_beta 90.00
_cell_angle_gamma 120.00
_symmetry_space_group_name_H-M 'R -3'
_symmetry_Int_Tables_number 148
_symmetry_space_group_name_Hall '-R 3'
loop_
_atom_site_label
_atom_site_type_symbol
_atom_site_fract_x
_atom_site_fract_y
_atom_site_fract_z
Tb1 Tb 0.0000 0.0000 0.0000
Tb2 Tb 0.0815 0.1637 0.2951
Pr1 Pr 0.9998 0.4114 0.9992
Pr2 Pr 0.0978 0.5485 0.4678
Dy1 Dy 0.0000 0.0000 0.5000
```

Calculated values
VASP energy   -4.50 eV/atom
DOS(E_F)   1.372 states/eV/atom
Distance to the lowest polymorph of the same formula   0.0775 eV per atom
Theoretical density   6.95 g/cm3
Energy of formation   0.2192 eV per atom
Size of the total moment   0.0 μB per cell

TbPr7Dy4: optimized geometry, PBE.

```
data_TbPr7Dy4
_cell_length_a 6.380
_cell_length_b 7.340
_cell_length_c 9.068
_cell_angle_alpha 90.05
_cell_angle_beta 103.50
_cell_angle_gamma 90.01
_symmetry_space_group_name_H-M 'P -1'
_symmetry_Int_Tables_number 2
loop_
_symmetry_equiv_pos_as_xyz
'x,y,z'
'-x,-y,-z'
loop_
_atom_site_label
_atom_site_type_symbol
_atom_site_fract_x
_atom_site_fract_y
_atom_site_fract_z
Tb1 Tb 0.000 0.000 0.000
Pr1 Pr 0.000 0.500 0.000
Pr2 Pr 0.221 0.001 0.666
Pr3 Pr 0.281 0.251 0.335
Pr4 Pr 0.500 0.253 0.998
Dy1 Dy 0.219 0.500 0.665
Dy2 Dy 0.277 0.747 0.332
```

Calculated values
VASP energy   -4.70 eV/atom
DOS(E_F)   1.439 states/eV/atom
Distance to the lowest polymorph of the same formula   0.0000 eV per atom
Theoretical density   7.22 g/cm3
Energy of formation   0.0101 eV per atom
Size of the total moment   0.0 μB per cell

Tb16Pr7Dy6: optimized geometry, PBE.

```
data_Tb16Pr7Dy6
_cell_length_a 15.942
_cell_length_b 15.942
_cell_length_c 15.942
_cell_angle_alpha 90.00
_cell_angle_beta 90.00
_cell_angle_gamma 90.00
_symmetry_space_group_name_H-M 'F m -3 m'
_symmetry_Int_Tables_number 225
_symmetry_space_group_name_Hall '-F 4 2 3'
loop_
_atom_site_label
_atom_site_type_symbol
_atom_site_fract_x
_atom_site_fract_y
_atom_site_fract_z
Tb1 Tb 0.128 0.128 0.128
Tb2 Tb 0.150 0.150 0.350
Pr1 Pr 0.000 0.000 0.000
Pr2 Pr 0.000 0.250 0.250
Dy1 Dy 0.000 0.000 0.260
```

Calculated values
VASP energy   -4.40 eV/atom
DOS(E_F)   1.822 states/eV/atom
Theoretical density   7.38 g/cm3
Energy of formation   0.2565 eV per atom
Size of the total moment   0.0 μB per cell

Tb5PrDy7: optimized geometry, PBE.

```
data_Tb5PrDy7
_cell_length_a 6.673
_cell_length_b 11.141
_cell_length_c 11.600
_cell_angle_alpha 90.00
_cell_angle_beta 90.00
_cell_angle_gamma 90.00
_symmetry_space_group_name_H-M 'I m m 2'
_symmetry_Int_Tables_number 44
loop_
_symmetry_equiv_pos_as_xyz
'x,y,z'
'-x,-y,z'
'-x,y,z'
'x,-y,z'
'x+1/2,y+1/2,z+1/2'
'-x+1/2,-y+1/2,z+1/2'
'-x+1/2,y+1/2,z+1/2'
'x+1/2,-y+1/2,z+1/2'
loop_
_atom_site_label
_atom_site_type_symbol
_atom_site_fract_x
_atom_site_fract_y
_atom_site_fract_z
Tb1 Tb 0.000 0.000 0.000
Tb2 Tb 0.234 0.270 0.997
Pr1 Pr 0.000 0.500 0.199
Dy1 Dy 0.000 0.000 0.495
Dy2 Dy 0.000 0.169 0.248
Dy3 Dy 0.000 0.169 0.748
Dy4 Dy 0.000 0.500 0.502
Dy5 Dy 0.000 0.500 0.806
```

Calculated values
VASP energy   -4.38 eV/atom
DOS(E_F)   1.748 states/eV/atom
Theoretical density   7.98 g/cm3
Energy of formation   0.2443 eV per atom
Size of the total moment   0.0 μB per cell

Tb4PrDy: optimized geometry, PBE.

```
data_Tb4PrDy
_cell_length_a 9.360
_cell_length_b 9.360
_cell_length_c 9.360
_cell_angle_alpha 90.00
_cell_angle_beta 90.00
_cell_angle_gamma 90.00
_symmetry_space_group_name_H-M 'F -4 3 m'
_symmetry_Int_Tables_number 216
_symmetry_space_group_name_Hall 'F -4 2 3'
loop_
_atom_site_label
_atom_site_type_symbol
_atom_site_fract_x
_atom_site_fract_y
_atom_site_fract_z
Tb1 Tb 0.125 0.125 0.125
Pr1 Pr 0.000 0.000 0.500
Dy1 Dy 0.250 0.250 0.750
```

Calculated values
VASP energy   -4.38 eV/atom
DOS(E_F)   1.910 states/eV/atom
Distance to the lowest polymorph of the same formula   0.2526 eV per atom
Theoretical density   7.61 g/cm3
Energy of formation   0.2707 eV per atom
Size of the total moment   2.5 μB per cell